3
Lattice="-2.610 -1.008 0.554 2.007 -3.495 3.096 -1.363 4.539 1.836" Properties=species:S:1:pos:R:3 comment="LaReHg, optimized geometry, DFT PBEsol" formation_enthalpy_0k_ev_per_atom=0.507 density_g_cm3=13.7 pbc="T T T"
Hg -1.305 -0.504 0.277
La -0.240 1.861 2.256
Re -0.421 -1.321 2.953